*P*
ErTh2Fe | PBE-GGA | relaxed

total magnetization = 0.00 μB/atom
crystal system = trigonal

```
data_ErTh2Fe
_space_group_name_H-M_alt 'R 3 m'
_space_group_IT_number 160
_space_group_name_Hall 'R 3 -2"'
_cell_length_a 3.8544
_cell_length_b 3.8544
_cell_length_c 26.2667
_cell_angle_alpha 90.00
_cell_angle_beta 90.00
_cell_angle_gamma 120.00
loop_
_atom_site_label
_atom_site_fract_x
_atom_site_fract_y
_atom_site_fract_z
Er1 0.0000 0.0000 0.0000
Th1 0.0000 0.0000 0.5578
Th2 0.0000 0.0000 0.7752
Fe1 0.0000 0.0000 0.1649
```



*Q*
ErTh2Fe | PBE-GGA | relaxed

total magnetization = 0.00 μB/atom
crystal system = orthorhombic

```
data_ErTh2Fe
_space_group_name_H-M_alt 'P n m a'
_space_group_IT_number 62
_space_group_name_Hall '-P 2ac 2n'
_cell_length_a 6.972
_cell_length_b 9.757
_cell_length_c 6.171
_cell_angle_alpha 90.00
_cell_angle_beta 90.00
_cell_angle_gamma 90.00
loop_
_atom_site_label
_atom_site_fract_x
_atom_site_fract_y
_atom_site_fract_z
Er1 0.048 0.250 0.154
Th1 0.168 0.069 0.674
Fe1 0.103 0.750 0.389
```



Stability summary: most stable *Q*, least stable *P*.



*P*
ErTh2Fe | PBE-GGA | relaxed

total magnetization = 0.00 μB/atom
crystal system = orthorhombic

```
data_ErTh2Fe
_space_group_name_H-M_alt 'C m c m'
_space_group_IT_number 63
_space_group_name_Hall '-C 2c 2'
_cell_length_a 3.691
_cell_length_b 11.619
_cell_length_c 9.738
_cell_angle_alpha 90.00
_cell_angle_beta 90.00
_cell_angle_gamma 90.00
loop_
_atom_site_label
_atom_site_fract_x
_atom_site_fract_y
_atom_site_fract_z
Er1 0.000 0.088 0.250
Th1 0.000 0.361 0.070
Fe1 0.000 0.199 0.750
```



*Q*
ErTh2Fe | PBE-GGA | relaxed

total magnetization = 0.00 μB/atom
crystal system = trigonal

```
data_ErTh2Fe
_space_group_name_H-M_alt 'R -3 m'
_space_group_IT_number 166
_space_group_name_Hall '-R 3 2"'
_cell_length_a 3.7721
_cell_length_b 3.7721
_cell_length_c 26.8548
_cell_angle_alpha 90.00
_cell_angle_beta 90.00
_cell_angle_gamma 120.00
loop_
_atom_site_label
_atom_site_fract_x
_atom_site_fract_y
_atom_site_fract_z
Er1 0.0000 0.0000 0.0000
Th1 0.0000 0.0000 0.2256
Fe1 0.0000 0.0000 0.5000
```



Stability summary: most stable *P*, least stable *Q*.



*P*
Er2ThFe | PBE-GGA | relaxed

total magnetization = 0.12 μB/atom
crystal system = trigonal

```
data_Er2ThFe
_space_group_name_H-M_alt 'R -3 m'
_space_group_IT_number 166
_space_group_name_Hall '-R 3 2"'
_cell_length_a 5.2049
_cell_length_b 5.2049
_cell_length_c 12.7712
_cell_angle_alpha 90.00
_cell_angle_beta 90.00
_cell_angle_gamma 120.00
loop_
_atom_site_label
_atom_site_fract_x
_atom_site_fract_y
_atom_site_fract_z
Er1 0.0000 0.0000 0.2502
Th1 0.0000 0.0000 0.5000
Fe1 0.0000 0.0000 0.0000
```



*Q*
Er2ThFe | PBE-GGA | relaxed

total magnetization = 0.00 μB/atom
crystal system = tetragonal

```
data_Er2ThFe
_space_group_name_H-M_alt 'P 4/m m m'
_space_group_IT_number 123
_space_group_name_Hall '-P 4 2'
_cell_length_a 3.358
_cell_length_b 3.358
_cell_length_c 8.796
_cell_angle_alpha 90.00
_cell_angle_beta 90.00
_cell_angle_gamma 90.00
loop_
_atom_site_label
_atom_site_fract_x
_atom_site_fract_y
_atom_site_fract_z
Er1 0.000 0.000 0.180
Th1 0.500 0.500 0.500
Fe1 0.500 0.500 0.000
```



Stability summary: most stable *Q*, least stable *P*.



*P*
ErThFe | PBE-GGA | relaxed

total magnetization = 0.00 μB/atom
crystal system = orthorhombic

```
data_ErThFe
_space_group_name_H-M_alt 'F d d 2'
_space_group_IT_number 43
_space_group_name_Hall 'F 2 -2d'
_cell_length_a 10.829
_cell_length_b 15.843
_cell_length_c 6.951
_cell_angle_alpha 90.00
_cell_angle_beta 90.00
_cell_angle_gamma 90.00
loop_
_atom_site_label
_atom_site_fract_x
_atom_site_fract_y
_atom_site_fract_z
Er1 0.115 0.303 0.000
Th1 0.116 0.090 0.249
Fe1 0.117 0.461 0.909
```



*Q*
ErThFe | PBE-GGA | relaxed

total magnetization = 0.26 μB/atom
crystal system = tetragonal

```
data_ErThFe
_space_group_name_H-M_alt 'I 4 m m'
_space_group_IT_number 107
_space_group_name_Hall 'I 4 -2'
_cell_length_a 3.403
_cell_length_b 3.403
_cell_length_c 12.461
_cell_angle_alpha 90.00
_cell_angle_beta 90.00
_cell_angle_gamma 90.00
loop_
_atom_site_label
_atom_site_fract_x
_atom_site_fract_y
_atom_site_fract_z
Er1 0.000 0.000 0.000
Th1 0.000 0.000 0.265
Fe1 0.000 0.000 0.639
```



*R*
ErThFe | PBE-GGA | relaxed

total magnetization = 0.00 μB/atom
crystal system = trigonal

```
data_ErThFe
_space_group_name_H-M_alt 'P 3 m 1'
_space_group_IT_number 156
_space_group_name_Hall 'P 3 -2"'
_cell_length_a 3.8494
_cell_length_b 3.8494
_cell_length_c 6.0877
_cell_angle_alpha 90.00
_cell_angle_beta 90.00
_cell_angle_gamma 120.00
loop_
_atom_site_label
_atom_site_fract_x
_atom_site_fract_y
_atom_site_fract_z
Er1 0.0000 0.0000 0.0000
Th1 0.6667 0.3333 0.5189
Fe1 0.3333 0.6667 0.7385
```



Stability summary: most stable *Q*, least stable *P*.



*P*
Er2TlFe | PBE-GGA | relaxed

total magnetization = 0.23 μB/atom
crystal system = trigonal

```
data_Er2TlFe
_space_group_name_H-M_alt 'R -3 m'
_space_group_IT_number 166
_space_group_name_Hall '-R 3 2"'
_cell_length_a 3.5822
_cell_length_b 3.5822
_cell_length_c 29.5987
_cell_angle_alpha 90.00
_cell_angle_beta 90.00
_cell_angle_gamma 120.00
loop_
_atom_site_label
_atom_site_fract_x
_atom_site_fract_y
_atom_site_fract_z
Er1 0.0000 0.0000 0.1095
Tl1 0.0000 0.0000 0.0000
Fe1 0.0000 0.0000 0.5000
```



*Q*
Er2TlFe | PBE-GGA | relaxed

total magnetization = 0.00 μB/atom
crystal system = tetragonal

```
data_Er2TlFe
_space_group_name_H-M_alt 'P 4/m m m'
_space_group_IT_number 123
_space_group_name_Hall '-P 4 2'
_cell_length_a 3.327
_cell_length_b 3.327
_cell_length_c 8.137
_cell_angle_alpha 90.00
_cell_angle_beta 90.00
_cell_angle_gamma 90.00
loop_
_atom_site_label
_atom_site_fract_x
_atom_site_fract_y
_atom_site_fract_z
Er1 0.000 0.000 0.196
Tl1 0.500 0.500 0.500
Fe1 0.500 0.500 0.000
```



Stability summary: most stable *Q*, least stable *P*.



*P*
ErTm2Fe | PBE-GGA | relaxed

total magnetization = 0.00 μB/atom
crystal system = orthorhombic

```
data_ErTm2Fe
_space_group_name_H-M_alt 'P n m a'
_space_group_IT_number 62
_space_group_name_Hall '-P 2ac 2n'
_cell_length_a 6.994
_cell_length_b 8.991
_cell_length_c 6.161
_cell_angle_alpha 90.00
_cell_angle_beta 90.00
_cell_angle_gamma 90.00
loop_
_atom_site_label
_atom_site_fract_x
_atom_site_fract_y
_atom_site_fract_z
Er1 0.047 0.250 0.135
Tm1 0.174 0.066 0.672
Fe1 0.112 0.750 0.466
```



*Q*
ErTm2Fe | PBE-GGA | relaxed

total magnetization = 0.00 μB/atom
crystal system = orthorhombic

```
data_ErTm2Fe
_space_group_name_H-M_alt 'C m c m'
_space_group_IT_number 63
_space_group_name_Hall '-C 2c 2'
_cell_length_a 3.723
_cell_length_b 11.723
_cell_length_c 8.928
_cell_angle_alpha 90.00
_cell_angle_beta 90.00
_cell_angle_gamma 90.00
loop_
_atom_site_label
_atom_site_fract_x
_atom_site_fract_y
_atom_site_fract_z
Er1 0.000 0.080 0.250
Tm1 0.000 0.356 0.068
Fe1 0.000 0.258 0.750
```



Stability summary: most stable *P*, least stable *Q*.



*P*
ErTm3Fe | PBE-GGA | relaxed

total magnetization = 0.00 μB/atom
crystal system = cubic

```
data_ErTm3Fe
_space_group_name_H-M_alt 'P m -3 m'
_space_group_IT_number 221
_space_group_name_Hall '-P 4 2 3'
_cell_length_a 5.181
_cell_length_b 5.181
_cell_length_c 5.181
_cell_angle_alpha 90.00
_cell_angle_beta 90.00
_cell_angle_gamma 90.00
loop_
_atom_site_label
_atom_site_fract_x
_atom_site_fract_y
_atom_site_fract_z
Er1 0.000 0.000 0.000
Tm1 0.000 0.500 0.500
Fe1 0.500 0.500 0.500
```



*Q*
ErTm3Fe | PBE-GGA | relaxed

total magnetization = 0.02 μB/atom
crystal system = orthorhombic

```
data_ErTm3Fe
_space_group_name_H-M_alt 'P n m a'
_space_group_IT_number 62
_space_group_name_Hall '-P 2ac 2n'
_cell_length_a 10.544
_cell_length_b 3.652
_cell_length_c 13.563
_cell_angle_alpha 90.00
_cell_angle_beta 90.00
_cell_angle_gamma 90.00
loop_
_atom_site_label
_atom_site_fract_x
_atom_site_fract_y
_atom_site_fract_z
Er1 0.202 0.250 0.007
Tm1 0.035 0.250 0.599
Tm2 0.064 0.750 0.824
Tm3 0.197 0.750 0.247
Fe1 0.171 0.250 0.400
```



Stability summary: most stable *Q*, least stable *P*.



*P*
Er3TmFe | PBE-GGA | relaxed

total magnetization = 0.02 μB/atom
crystal system = orthorhombic

```
data_Er3TmFe
_space_group_name_H-M_alt 'P n m a'
_space_group_IT_number 62
_space_group_name_Hall '-P 2ac 2n'
_cell_length_a 10.639
_cell_length_b 3.665
_cell_length_c 13.504
_cell_angle_alpha 90.00
_cell_angle_beta 90.00
_cell_angle_gamma 90.00
loop_
_atom_site_label
_atom_site_fract_x
_atom_site_fract_y
_atom_site_fract_z
Er1 0.035 0.250 0.099
Er2 0.062 0.750 0.327
Er3 0.199 0.750 0.748
Tm1 0.205 0.250 0.508
Fe1 0.170 0.250 0.901
```



*Q*
Er3TmFe | PBE-GGA | relaxed

total magnetization = 0.00 μB/atom
crystal system = cubic

```
data_Er3TmFe
_space_group_name_H-M_alt 'P m -3 m'
_space_group_IT_number 221
_space_group_name_Hall '-P 4 2 3'
_cell_length_a 5.202
_cell_length_b 5.202
_cell_length_c 5.202
_cell_angle_alpha 90.00
_cell_angle_beta 90.00
_cell_angle_gamma 90.00
loop_
_atom_site_label
_atom_site_fract_x
_atom_site_fract_y
_atom_site_fract_z
Er1 0.000 0.000 0.500
Tm1 0.500 0.500 0.500
Fe1 0.000 0.000 0.000
```



Stability summary: most stable *P*, least stable *Q*.



*P*
ErUFe3 | PBE-GGA | relaxed

total magnetization = 0.24 μB/atom
crystal system = orthorhombic

```
data_ErUFe3
_space_group_name_H-M_alt 'C m c m'
_space_group_IT_number 63
_space_group_name_Hall '-C 2c 2'
_cell_length_a 5.870
_cell_length_b 10.461
_cell_length_c 5.383
_cell_angle_alpha 90.00
_cell_angle_beta 90.00
_cell_angle_gamma 90.00
loop_
_atom_site_label
_atom_site_fract_x
_atom_site_fract_y
_atom_site_fract_z
Er1 0.000 0.082 0.250
U1 0.000 0.277 0.750
Fe1 0.000 0.500 0.000
Fe2 0.211 0.345 0.250
```



*Q*
ErUFe3 | PBE-GGA | relaxed

total magnetization = 0.19 μB/atom
crystal system = trigonal

```
data_ErUFe3
_space_group_name_H-M_alt 'R -3 m'
_space_group_IT_number 166
_space_group_name_Hall '-R 3 2"'
_cell_length_a 5.6085
_cell_length_b 5.6085
_cell_length_c 17.3785
_cell_angle_alpha 90.00
_cell_angle_beta 90.00
_cell_angle_gamma 120.00
loop_
_atom_site_label
_atom_site_fract_x
_atom_site_fract_y
_atom_site_fract_z
Er1 0.0000 0.0000 0.0994
U1 0.0000 0.0000 0.3336
Fe1 0.0096 0.5048 0.1037
```



Stability summary: most stable *Q*, least stable *P*.



*P*
Er5Ga3 | PBE-GGA | relaxed

total magnetization = 0.00 μB/atom
crystal system = hexagonal

```
data_Er5Ga3
_space_group_name_H-M_alt 'P 63/m c m'
_space_group_IT_number 193
_space_group_name_Hall '-P 6c 2'
_cell_length_a 8.5315
_cell_length_b 8.5315
_cell_length_c 6.4383
_cell_angle_alpha 90.00
_cell_angle_beta 90.00
_cell_angle_gamma 120.00
loop_
_atom_site_label
_atom_site_fract_x
_atom_site_fract_y
_atom_site_fract_z
Er1 0.0000 0.2433 0.2500
Er2 0.3333 0.6667 0.0000
Ga1 0.0000 0.4010 0.7500
```



*Q*
Er5Ga3 | PBE-GGA | relaxed

total magnetization = 0.00 μB/atom
crystal system = tetragonal

```
data_Er5Ga3
_space_group_name_H-M_alt 'I 4/m c m'
_space_group_IT_number 140
_space_group_name_Hall '-I 4 2c'
_cell_length_a 11.563
_cell_length_b 11.563
_cell_length_c 5.877
_cell_angle_alpha 90.00
_cell_angle_beta 90.00
_cell_angle_gamma 90.00
loop_
_atom_site_label
_atom_site_fract_x
_atom_site_fract_y
_atom_site_fract_z
Er1 0.000 0.500 0.250
Er2 0.084 0.214 0.000
Ga1 0.000 0.000 0.250
Ga2 0.160 0.340 0.500
```



Stability summary: most stable *Q*, least stable *P*.



*P*
Er4Ga | PBE-GGA | relaxed

total magnetization = 0.00 μB/atom
crystal system = cubic

```
data_Er4Ga
_space_group_name_H-M_alt 'P m -3 m'
_space_group_IT_number 221
_space_group_name_Hall '-P 4 2 3'
_cell_length_a 5.456
_cell_length_b 5.456
_cell_length_c 5.456
_cell_angle_alpha 90.00
_cell_angle_beta 90.00
_cell_angle_gamma 90.00
loop_
_atom_site_label
_atom_site_fract_x
_atom_site_fract_y
_atom_site_fract_z
Er1 0.000 0.000 0.000
Er2 0.000 0.500 0.500
Ga1 0.500 0.500 0.500
```



*Q*
Er4Ga | PBE-GGA | relaxed

total magnetization = 0.09 μB/atom
crystal system = tetragonal

```
data_Er4Ga
_space_group_name_H-M_alt 'I 41/a'
_space_group_IT_number 88
_cell_length_a 6.387
_cell_length_b 6.387
_cell_length_c 14.074
_cell_angle_alpha 90.00
_cell_angle_beta 90.00
_cell_angle_gamma 90.00
loop_
_space_group_symop_operation_xyz
'x,y,z'
'-x,-y,-z'
'-y+3/4,x+1/4,z+1/4'
'y+3/4,-x+1/4,-z+1/4'
'-x+1/2,-y,z+1/2'
'x+1/2,y,-z+1/2'
'y+3/4,-x+3/4,z+3/4'
'-y+3/4,x+3/4,-z+3/4'
'x+1/2,y+1/2,z+1/2'
'-x+1/2,-y+1/2,-z+1/2'
'-y+1/4,x+3/4,z+3/4'
'y+1/4,-x+3/4,-z+3/4'
'-x,-y+1/2,z'
'x,y+1/2,-z'
'y+1/4,-x+1/4,z+1/4'
'-y+1/4,x+1/4,-z+1/4'
loop_
_atom_site_label
_atom_site_fract_x
_atom_site_fract_y
_atom_site_fract_z
Er1 0.138 0.492 0.296
Ga1 0.000 0.250 0.125
```



Stability summary: most stable *Q*, least stable *P*.